No. 1
NdTh2SiN5 | PBE-GGA | optimized geometry

a b c (Å): 5.7891 6.7079 6.7079
angles (deg): 90.00 90.00 90.00
Fractional coordinates of all 18 atoms:
Nd 0.0000 0.5000 0.5000
Nd 0.0000 0.0000 0.0000
Th 0.5000 0.6786 0.1786
Th 0.5000 0.1786 0.3214
Th 0.5000 0.8214 0.6786
Th 0.5000 0.3214 0.8214
Si 0.0000 0.0000 0.5000
Si 0.0000 0.5000 0.0000
N 0.5000 0.5000 0.5000
N 0.5000 0.0000 0.0000
N 0.2195 0.1368 0.6368
N 0.2195 0.8632 0.3632
N 0.2195 0.3632 0.1368
N 0.2195 0.6368 0.8632
N 0.7805 0.1368 0.6368
N 0.7805 0.6368 0.8632
N 0.7805 0.8632 0.3632
N 0.7805 0.3632 0.1368

Output
size of the total moment = 0.00 μB/f.u.
E_tot = -8.617 eV/atom
crystal system = tetragonal
ΔE_f (raw) = -116.77 kJ per mole of atoms



No. 2
NdZn2SiN4 | PBE-GGA | optimized geometry

a b c (Å): 5.2811 5.1201 5.1201
angles (deg): 86.34 58.95 58.95
Fractional coordinates of all 8 atoms:
Nd 0.0000 0.0000 0.0000
Zn 0.5000 0.7500 0.2500
Zn 0.5000 0.2500 0.7500
Si 0.0000 0.5000 0.5000
N 0.6101 0.5558 0.8341
N 0.3899 0.1659 0.4442
N 0.0000 0.4442 0.1659
N 0.0000 0.8341 0.5558

Output
size of the total moment = 0.00 μB/f.u.
E_tot = -6.334 eV/atom
crystal system = tetragonal
ΔE_f (raw) = -55.90 kJ per mole of atoms



No. 3
Nd3SmN3 | PBE-GGA | optimized geometry

a b c (Å): 5.1293 5.1293 5.1293
angles (deg): 90.00 90.00 90.00
Fractional coordinates of all 7 atoms:
Nd 0.5428 0.5428 0.0428
Nd 0.5428 0.0428 0.5428
Nd 0.0428 0.5428 0.5428
Sm 0.0428 0.0428 0.0428
N 0.5427 0.0428 0.0428
N 0.0428 0.0428 0.5427
N 0.0428 0.5427 0.0428

Output
size of the total moment = 0.00 μB/f.u.
E_tot = -7.437 eV/atom
crystal system = cubic
ΔE_f (raw) = -111.06 kJ per mole of atoms
ΔE to the lowest computed polymorph = 0 meV per atom



No. 4
NdSm5N6 | PBE-GGA | optimized geometry

a b c (Å): 6.2325 6.2322 6.2329
angles (deg): 60.00 80.41 70.54
Fractional coordinates of all 12 atoms:
Nd 0.0000 0.0000 0.0000
Sm 0.5000 0.1671 0.6659
Sm 0.0000 0.3334 0.3332
Sm 0.5000 0.5000 0.0000
Sm 0.0000 0.6666 0.6668
Sm 0.5000 0.8329 0.3341
N 0.7486 0.0838 0.3359
N 0.2514 0.5803 0.3359
N 0.2511 0.2523 0.0000
N 0.7489 0.7477 0.0000
N 0.7486 0.4197 0.6641
N 0.2514 0.9162 0.6641

Output
size of the total moment = 0.00 μB/f.u.
E_tot = -7.987 eV/atom
crystal system = monoclinic
ΔE_f (raw) = -140.98 kJ per mole of atoms



No. 5
Nd2SmN3 | PBE-GGA | optimized geometry

a b c (Å): 5.1336 7.2663 10.9031
angles (deg): 90.00 90.00 90.00
Fractional coordinates of all 24 atoms:
Nd 0.2500 0.8737 0.7505
Nd 0.2500 0.3737 0.7495
Nd 0.2500 0.8728 0.4165
Nd 0.2500 0.3728 0.0835
Nd 0.7500 0.6272 0.9165
Nd 0.7500 0.1272 0.5835
Nd 0.7500 0.6263 0.2505
Nd 0.7500 0.1263 0.2495
Sm 0.2500 0.8737 0.0827
Sm 0.2500 0.3737 0.4173
Sm 0.7500 0.6263 0.5827
Sm 0.7500 0.1263 0.9173
N 0.2499 0.6258 0.5825
N 0.2499 0.1258 0.9175
N 0.2501 0.6333 0.9185
N 0.2501 0.1333 0.5815
N 0.2500 0.6301 0.2488
N 0.2500 0.1301 0.2512
N 0.7500 0.8699 0.7488
N 0.7500 0.3699 0.7512
N 0.7499 0.8667 0.4185
N 0.7499 0.3667 0.0815
N 0.7501 0.8742 0.0825
N 0.7501 0.3742 0.4175

Output
size of the total moment = 0.00 μB/f.u.
E_tot = -7.935 eV/atom
crystal system = orthorhombic
ΔE_f (raw) = -134.75 kJ per mole of atoms



No. 6
NdSm2N3 | PBE-GGA | optimized geometry

a b c (Å): 5.1025 7.2230 10.8369
angles (deg): 90.00 90.00 90.00
Fractional coordinates of all 24 atoms:
Nd 0.2500 0.8731 0.0837
Nd 0.2500 0.3731 0.4163
Nd 0.7500 0.6269 0.5837
Nd 0.7500 0.1269 0.9163
Sm 0.2500 0.8734 0.7493
Sm 0.2500 0.3734 0.7507
Sm 0.2500 0.8741 0.4167
Sm 0.2500 0.3741 0.0833
Sm 0.7500 0.6259 0.9167
Sm 0.7500 0.1259 0.5833
Sm 0.7500 0.6266 0.2493
Sm 0.7500 0.1266 0.2507
N 0.2500 0.6334 0.5840
N 0.2500 0.1334 0.9160
N 0.2500 0.6257 0.9149
N 0.2500 0.1257 0.5851
N 0.2500 0.6290 0.2510
N 0.2500 0.1290 0.2490
N 0.7500 0.8710 0.7510
N 0.7500 0.3710 0.7490
N 0.7500 0.8743 0.4149
N 0.7500 0.3743 0.0851
N 0.7500 0.8666 0.0840
N 0.7500 0.3666 0.4160

Output
size of the total moment = 0.00 μB/f.u.
E_tot = -7.968 eV/atom
crystal system = orthorhombic
ΔE_f (raw) = -138.69 kJ per mole of atoms



No. 7
NdSm3N3 | PBE-GGA | optimized geometry

a b c (Å): 6.3121 6.3121 9.7963
angles (deg): 71.21 71.21 60.00
Fractional coordinates of all 14 atoms:
Nd 0.3333 0.3333 0.0002
Nd 0.6667 0.6667 0.9998
Sm 0.4180 0.7840 0.6970
Sm 0.7840 0.1010 0.6970
Sm 0.1010 0.4180 0.6970
Sm 0.8990 0.5820 0.3030
Sm 0.2160 0.8990 0.3030
Sm 0.5820 0.2160 0.3030
N 0.3049 0.5718 0.1843
N 0.9390 0.3049 0.1843
N 0.5718 0.9390 0.1843
N 0.4282 0.0610 0.8157
N 0.0610 0.6951 0.8157
N 0.6951 0.4282 0.8157

Output
size of the total moment = 0.54 μB/f.u.
E_tot = -7.295 eV/atom
crystal system = trigonal
ΔE_f (raw) = -98.71 kJ per mole of atoms
ΔE to the lowest computed polymorph = 157 meV per atom



No. 8
Nd5Sm3N8 | PBE-GGA | optimized geometry

a b c (Å): 7.2581 7.2581 7.2581
angles (deg): 60.00 60.00 60.00
Fractional coordinates of all 16 atoms:
Nd 0.5000 0.0000 0.0000
Nd 0.5000 0.5000 0.0000
Nd 0.0000 0.0000 0.0000
Nd 0.0000 0.5000 0.0000
Nd 0.5000 0.5000 0.5000
Sm 0.5000 0.0000 0.5000
Sm 0.0000 0.0000 0.5000
Sm 0.0000 0.5000 0.5000
N 0.2500 0.2500 0.7473
N 0.2500 0.7527 0.7473
N 0.7527 0.2500 0.7473
N 0.7513 0.7513 0.7462
N 0.7500 0.7500 0.2527
N 0.7500 0.2473 0.2527
N 0.2473 0.7500 0.2527
N 0.2487 0.2487 0.2538

Output
size of the total moment = 0.00 μB/f.u.
E_tot = -7.939 eV/atom
crystal system = trigonal
ΔE_f (raw) = -135.22 kJ per mole of atoms



ΔE_f (raw) of number 6 (NdSm2N3)?
-138.69 kJ per mole of atoms



The highest E_tot belongs to which entry?
NdZn2SiN4



Copy entry 2 word for word.
NdZn2SiN4 | PBE-GGA | optimized geometry

a b c (Å): 5.2811 5.1201 5.1201
angles (deg): 86.34 58.95 58.95
Fractional coordinates of all 8 atoms:
Nd 0.0000 0.0000 0.0000
Zn 0.5000 0.7500 0.2500
Zn 0.5000 0.2500 0.7500
Si 0.0000 0.5000 0.5000
N 0.6101 0.5558 0.8341
N 0.3899 0.1659 0.4442
N 0.0000 0.4442 0.1659
N 0.0000 0.8341 0.5558

Output
size of the total moment = 0.00 μB/f.u.
E_tot = -6.334 eV/atom
crystal system = tetragonal
ΔE_f (raw) = -55.90 kJ per mole of atoms